## a
Computed, not measured: crystalline NbVCu at its relaxed geometry at the PBE level of DFT.

Unit cell a=2.625 b=2.625 c=14.245 alpha=90.00 beta=90.00 gamma=90.00
Space group I4mm (No. 107)
Inequivalent atoms, fractional coordinates:
Nb1 0.000 0.000 0.000
V1 0.000 0.000 0.822
Cu1 0.000 0.000 0.648

***

## b
Computed, not measured: crystalline NbVCu at its relaxed geometry at the PBE level of DFT.

Unit cell a=4.5797 b=4.5797 c=2.4824 alpha=90.00 beta=90.00 gamma=120.00
Space group P3m1 (No. 156)
Inequivalent atoms, fractional coordinates:
Nb1 0.0000 0.0000 0.0000
V1 0.6667 0.3333 0.5098
Cu1 0.3333 0.6667 0.4859

***

Going by the computed energies, the most stable comes first: b, a.

***

## a
Computed, not measured: crystalline NbV2Cu at its relaxed geometry at the PBE level of DFT.

Unit cell a=2.7111 b=2.7111 c=28.4778 alpha=90.00 beta=90.00 gamma=120.00
Space group R-3m (No. 166, hexagonal axes)
Inequivalent atoms, fractional coordinates:
Nb1 0.0000 0.0000 0.0000
V1 0.0000 0.0000 0.0903
Cu1 0.0000 0.0000 0.5000

***

## b
Computed, not measured: crystalline NbV2Cu at its relaxed geometry at the PBE level of DFT.

Unit cell a=3.183 b=3.183 c=5.739 alpha=90.00 beta=90.00 gamma=90.00
Space group P4/mmm (No. 123)
Inequivalent atoms, fractional coordinates:
Nb1 0.000 0.000 0.000
V1 0.500 0.500 0.254
Cu1 0.000 0.000 0.500

***

Going by the computed energies, the most stable comes first: b, a.

***

## a
Computed, not measured: crystalline NbV2Cu at its relaxed geometry at the PBE level of DFT.

Unit cell a=6.131 b=6.131 c=6.131 alpha=90.00 beta=90.00 gamma=90.00
Space group Fm-3m (No. 225)
Inequivalent atoms, fractional coordinates:
Nb1 0.000 0.000 0.000
V1 0.250 0.250 0.250
Cu1 0.000 0.000 0.500

***

## b
Computed, not measured: crystalline NbV2Cu at its relaxed geometry at the PBE level of DFT.

Unit cell a=4.141 b=4.141 c=3.353 alpha=90.00 beta=90.00 gamma=90.00
Space group P4/mmm (No. 123)
Inequivalent atoms, fractional coordinates:
Nb1 0.000 0.000 0.000
V1 0.000 0.500 0.500
Cu1 0.500 0.500 0.000

***

## c
Computed, not measured: crystalline NbV2Cu at its relaxed geometry at the PBE level of DFT.

Unit cell a=6.909 b=6.909 c=5.141 alpha=90.00 beta=90.00 gamma=90.00
Space group I-42d (No. 122)
Inequivalent atoms, fractional coordinates:
Nb1 0.000 0.000 0.000
V1 0.233 0.750 0.625
Cu1 0.000 0.000 0.500

***

Going by the computed energies, the most stable comes first: b, a, c.

***

## a
Computed, not measured: crystalline NbCu2W at its relaxed geometry at the PBE level of DFT.

Unit cell a=7.017 b=7.017 c=5.094 alpha=90.00 beta=90.00 gamma=90.00
Space group I-42d (No. 122)
Inequivalent atoms, fractional coordinates:
Nb1 0.000 0.000 0.000
Cu1 0.241 0.250 0.625
W1 0.000 0.000 0.500

***

## b
Computed, not measured: crystalline NbCu2W at its relaxed geometry at the PBE level of DFT.

Unit cell a=6.168 b=6.168 c=6.168 alpha=90.00 beta=90.00 gamma=90.00
Space group Fm-3m (No. 225)
Inequivalent atoms, fractional coordinates:
Nb1 0.000 0.000 0.000
Cu1 0.250 0.250 0.250
W1 0.000 0.000 0.500

***

Going by the computed energies, the most stable comes first: b, a.

***

## a
Computed, not measured: crystalline NbCuW2 at its relaxed geometry at the PBE level of DFT.

Unit cell a=6.321 b=6.321 c=6.321 alpha=90.00 beta=90.00 gamma=90.00
Space group Fm-3m (No. 225)
Inequivalent atoms, fractional coordinates:
Nb1 0.000 0.000 0.000
Cu1 0.000 0.000 0.500
W1 0.250 0.250 0.250

***

## b
Computed, not measured: crystalline NbCuW2 at its relaxed geometry at the PBE level of DFT.

Unit cell a=7.185 b=7.185 c=5.250 alpha=90.00 beta=90.00 gamma=90.00
Space group I-42d (No. 122)
Inequivalent atoms, fractional coordinates:
Nb1 0.000 0.000 0.000
Cu1 0.000 0.000 0.500
W1 0.227 0.250 0.625

***

Going by the computed energies, the most stable comes first: a, b.

***

## a
Computed, not measured: crystalline NbCuW3 at its relaxed geometry at the PBE level of DFT.

Unit cell a=4.507 b=4.507 c=4.507 alpha=90.00 beta=90.00 gamma=90.00
Space group Pm-3m (No. 221)
Inequivalent atoms, fractional coordinates:
Nb1 0.000 0.000 0.000
Cu1 0.500 0.500 0.500
W1 0.000 0.500 0.500

***

## b
Computed, not measured: crystalline NbCuW3 at its relaxed geometry at the PBE level of DFT.

Unit cell a=4.755 b=4.755 c=4.755 alpha=90.00 beta=90.00 gamma=90.00
Space group Pm-3m (No. 221)
Inequivalent atoms, fractional coordinates:
Nb1 0.000 0.000 0.000
Cu1 0.500 0.500 0.500
W1 0.000 0.000 0.500

***

Going by the computed energies, the most stable comes first: a, b.

***

## a
Computed, not measured: crystalline Y2NbCu at its relaxed geometry at the PBE level of DFT.

Unit cell a=7.170 b=7.170 c=7.170 alpha=90.00 beta=90.00 gamma=90.00
Space group Fm-3m (No. 225)
Inequivalent atoms, fractional coordinates:
Y1 0.250 0.250 0.250
Nb1 0.000 0.000 0.000
Cu1 0.000 0.000 0.500

***

## b
Computed, not measured: crystalline Y2NbCu at its relaxed geometry at the PBE level of DFT.

Unit cell a=4.327 b=4.327 c=19.847 alpha=90.00 beta=90.00 gamma=90.00
Space group I-42d (No. 122)
Inequivalent atoms, fractional coordinates:
Y1 0.243 0.250 0.125
Nb1 0.000 0.000 0.500
Cu1 0.000 0.000 0.000

***

Going by the computed energies, the most stable comes first: a, b.